Entry 1:
This record from Alexandria via LeMat-Bulk describes crystalline NiP2Ir at its relaxed geometry. The functional is PBEsol.

a = 3.4076 Å, b = 3.6590 Å, c = 4.9790 Å
α = 92.70°, β = 90.00°, γ = 117.75°
Positions (direct):
1 P 0.2760 0.5519 0.2535
2 Ni 0.6736 0.3472 0.9888
3 Ir 0.5888 0.1777 0.4853
4 P 0.9616 0.9232 0.7723

Calculated values
Symmetry: Cm, No. 8
ΔE to the lowest computed polymorph (kJ per mole of atoms): 0.0
Total magnetization (Bohr magnetons per cell): 0.0

Entry 2:
This record from Alexandria via LeMat-Bulk describes crystalline Ni2PIr at its relaxed geometry. The functional is PBEsol.

a = 2.6401 Å, b = 2.6401 Å, c = 7.8946 Å
α = 90.00°, β = 90.00°, γ = 119.04°
Positions (direct):
1 Ni 0.0000 0.0000 0.2803
2 Ir 0.5000 0.5000 0.0000
3 Ni 0.0000 0.0000 0.7197
4 P 0.5000 0.5000 0.5000

Calculated values
Symmetry: Cmmm, No. 65
Total magnetization (Bohr magnetons per cell): 0.0

Entry 3:
This record from Alexandria via LeMat-Bulk describes crystalline Ni2PIr at its relaxed geometry. The functional is PBEsol.

a = 3.5359 Å, b = 3.5359 Å, c = 3.6625 Å
α = 90.00°, β = 90.00°, γ = 90.00°
Positions (direct):
1 Ni 0.5000 0.0000 0.0000
2 Ir 0.0000 0.0000 0.5000
3 P 0.5000 0.5000 0.5000
4 Ni 0.0000 0.5000 0.0000

Calculated values
Symmetry: P4/mmm, No. 123
Total magnetization (Bohr magnetons per cell): 0.0

Entry 4:
This record from Alexandria via LeMat-Bulk describes crystalline NiPIr2 at its relaxed geometry. The functional is PBEsol.

a = 2.7987 Å, b = 3.2302 Å, c = 5.5656 Å
α = 90.00°, β = 90.00°, γ = 90.00°
Positions (direct):
1 Ni 0.5000 0.5000 0.0000
2 Ir 0.0000 0.0000 0.7474
3 Ir 0.0000 0.0000 0.2526
4 P 0.5000 0.5000 0.5000

Calculated values
Symmetry: Pmmm, No. 47
Total magnetization (Bohr magnetons per cell): 0.0

Entry 5:
This record from Alexandria via LeMat-Bulk describes crystalline Ni2PIr at its relaxed geometry. The functional is PBEsol.

a = 3.7066 Å, b = 4.2390 Å, c = 3.7066 Å
α = 64.07°, β = 90.00°, γ = 115.93°
Positions (direct):
1 Ni 0.0000 0.0000 0.0000
2 P 0.5000 0.0000 0.5000
3 Ni 0.2500 0.5000 0.2500
4 Ir 0.7500 0.5000 0.7500

Calculated values
Symmetry: I-4m2, No. 119
Total magnetization (Bohr magnetons per cell): 0.0

Entry 6:
This record from Alexandria via LeMat-Bulk describes crystalline NiPIr2 at its relaxed geometry. The functional is PBEsol.

a = 2.7396 Å, b = 2.7304 Å, c = 8.2003 Å
α = 90.00°, β = 90.00°, γ = 120.11°
Positions (direct):
1 P 0.5000 0.0000 0.0000
2 Ir 0.0000 0.0000 0.2378
3 Ir 0.0000 0.0000 0.7622
4 Ni 0.5000 0.0000 0.5000

Calculated values
Symmetry: Cmmm, No. 65
Total magnetization (Bohr magnetons per cell): 0.4

no.,formation energy (eV/f.u.)
1,-1.65
2,0.24
3,-0.69
4,0.09
5,-0.62
6,1.11